1.
Material: Pm12HoEr6
Method: DFT, PBE-GGA
State: relaxed

Geometry as POSCAR:
```
Pm12HoEr6
1.0
-7.616 -1.457 -3.765
-1.250 -7.010 4.859
-4.050 4.677 6.002
Pm Ho Er
12 1 6
direct
0.781 0.537 0.433 Pm
0.433 0.781 0.537 Pm
0.537 0.433 0.781 Pm
0.219 0.463 0.567 Pm
0.567 0.219 0.463 Pm
0.463 0.567 0.219 Pm
0.017 0.195 0.362 Pm
0.805 0.638 0.983 Pm
0.638 0.983 0.805 Pm
0.983 0.805 0.638 Pm
0.195 0.362 0.017 Pm
0.362 0.017 0.195 Pm
0.000 0.000 0.000 Ho
0.741 0.901 0.298 Er
0.702 0.259 0.099 Er
0.099 0.702 0.259 Er
0.259 0.099 0.702 Er
0.298 0.741 0.901 Er
0.901 0.298 0.741 Er
```

Output
The value obtained for the density of states at the Fermi level is 1.720 states/eV/atom. As for the volume: 33.7 Å³/atom. For the formation energy, the calculation gives 137 meV per atom.


2.
Material: Pm5HoEr8
Method: DFT, PBE-GGA
State: relaxed

Geometry as POSCAR:
```
Pm5HoEr8
1.0
-6.297 -5.566 0.554
7.416 -3.730 1.424
-1.492 5.970 5.751
Pm Ho Er
5 1 8
direct
0.031 0.325 0.135 Pm
0.865 0.897 0.191 Pm
0.809 0.675 0.706 Pm
0.500 0.000 0.500 Pm
0.294 0.103 0.969 Pm
0.250 0.500 0.750 Ho
0.164 0.737 0.077 Er
0.923 0.088 0.660 Er
0.733 0.255 0.336 Er
0.664 0.397 0.919 Er
0.522 0.603 0.267 Er
0.573 0.912 0.836 Er
0.340 0.263 0.427 Er
0.081 0.745 0.478 Er
```

Output
The value obtained for the density of states at the Fermi level is 1.363 states/eV/atom. As for the volume: 32.8 Å³/atom. For the formation energy, the calculation gives 243 meV per atom.


3.
Material: Pm2Ho3Er7
Method: DFT, PBE-GGA
State: relaxed

Geometry as POSCAR:
```
Pm2Ho3Er7
1.0
3.587 0.000 0.000
0.000 5.643 0.000
0.000 -2.822 18.739
Pm Ho Er
2 3 7
direct
0.000 0.853 0.706 Pm
0.000 0.147 0.294 Pm
0.500 0.500 0.000 Ho
0.500 0.686 0.372 Ho
0.500 0.314 0.628 Ho
0.000 0.411 0.821 Er
0.000 0.769 0.539 Er
0.000 0.000 0.000 Er
0.000 0.589 0.179 Er
0.500 0.071 0.142 Er
0.500 0.929 0.858 Er
0.000 0.231 0.461 Er
```

Output
The value obtained for the density of states at the Fermi level is 1.490 states/eV/atom. As for the volume: 31.6 Å³/atom. For the formation energy, the calculation gives 114 meV per atom.


4.
Material: Pm2Ho2Er7
Method: DFT, PBE-GGA
State: relaxed

Geometry as POSCAR:
```
Pm2Ho2Er7
1.0
-1.038 5.886 -0.845
-4.360 2.434 6.241
6.457 3.838 2.731
Pm Ho Er
2 2 7
direct
0.806 0.408 0.408 Pm
0.194 0.592 0.592 Pm
0.500 0.213 0.787 Ho
0.500 0.787 0.213 Ho
0.179 0.064 0.588 Er
0.821 0.412 0.936 Er
0.821 0.936 0.412 Er
0.179 0.588 0.064 Er
0.000 0.000 0.000 Er
0.579 0.771 0.771 Er
0.421 0.229 0.229 Er
```

Output
The value obtained for the density of states at the Fermi level is 1.600 states/eV/atom. As for the volume: 32.1 Å³/atom. For the formation energy, the calculation gives 155 meV per atom.


5.
Material: PmHo2Er3
Method: DFT, PBE-GGA
State: relaxed

Geometry as POSCAR:
```
PmHo2Er3
1.0
6.114 0.086 -0.221
-0.186 6.575 -2.589
0.347 -0.108 9.349
Pm Ho Er
2 4 6
direct
0.750 0.126 0.000 Pm
0.250 0.874 0.000 Pm
0.582 0.543 0.335 Ho
0.082 0.792 0.335 Ho
0.918 0.208 0.665 Ho
0.418 0.457 0.665 Ho
0.250 0.376 0.000 Er
0.750 0.624 0.000 Er
0.084 0.293 0.336 Er
0.416 0.957 0.664 Er
0.584 0.043 0.336 Er
0.916 0.707 0.664 Er
```

Output
The value obtained for the density of states at the Fermi level is 1.402 states/eV/atom. As for the volume: 31.2 Å³/atom. For the formation energy, the calculation gives 21 meV per atom.


6.
Material: Pm12Ho2Er5
Method: DFT, PBE-GGA
State: relaxed

Geometry as POSCAR:
```
Pm12Ho2Er5
1.0
-9.664 -1.414 -6.333
-5.665 -7.197 -7.184
-1.636 -2.342 8.225
Pm Ho Er
12 2 5
direct
0.856 0.856 0.935 Pm
0.453 0.947 0.794 Pm
0.947 0.453 0.794 Pm
0.362 0.851 0.385 Pm
0.851 0.362 0.385 Pm
0.548 0.548 0.694 Pm
0.452 0.452 0.306 Pm
0.638 0.149 0.615 Pm
0.149 0.638 0.615 Pm
0.547 0.053 0.206 Pm
0.053 0.547 0.206 Pm
0.144 0.144 0.065 Pm
0.743 0.257 0.000 Ho
0.257 0.743 0.000 Ho
0.751 0.751 0.507 Er
0.650 0.650 0.096 Er
0.000 0.000 0.500 Er
0.350 0.350 0.904 Er
0.249 0.249 0.493 Er
```

Output
The value obtained for the density of states at the Fermi level is 1.461 states/eV/atom. As for the volume: 33.8 Å³/atom. For the formation energy, the calculation gives 137 meV per atom.